(1)
VASP calculation (PBE) on an optimized crystal structure of NdAs2IrO8.

Cell: 5.4303 5.4303 6.9413 Å, 90.00 90.00 120.00°
Sites, in units of the cell vectors:
Nd (0.0000, 0.0000, 0.0000)
As (0.3333, 0.6667, 0.2329)
As (0.6667, 0.3333, 0.7671)
Ir (0.0000, 0.0000, 0.5000)
O (0.1551, 0.3101, 0.2925)
O (0.1551, 0.8449, 0.2925)
O (0.3101, 0.1551, 0.7075)
O (0.3333, 0.6667, 0.9891)
O (0.6667, 0.3333, 0.0109)
O (0.6899, 0.8449, 0.2925)
O (0.8449, 0.1551, 0.7075)
O (0.8449, 0.6899, 0.7075)

Summary:
formation energy without anion corrections	-1.424	eV/atom


(2)
VASP calculation (PBE) on an optimized crystal structure of Hf2SbI.

Cell: 6.5837 6.5837 12.4508 Å, 90.00 90.00 90.00°
Sites, in units of the cell vectors:
Hf (0.2454, 0.2500, 0.1250)
Hf (0.2500, 0.7454, 0.3750)
Hf (0.2500, 0.7546, 0.8750)
Hf (0.2546, 0.2500, 0.6250)
Hf (0.7454, 0.7500, 0.6250)
Hf (0.7500, 0.2454, 0.8750)
Hf (0.7500, 0.2546, 0.3750)
Hf (0.7546, 0.7500, 0.1250)
Sb (0.0000, 0.0000, 0.0000)
Sb (0.0000, 0.5000, 0.2500)
Sb (0.5000, 0.0000, 0.7500)
Sb (0.5000, 0.5000, 0.5000)
I (0.0000, 0.0000, 0.5000)
I (0.0000, 0.5000, 0.7500)
I (0.5000, 0.0000, 0.2500)
I (0.5000, 0.5000, 0.0000)

Summary:
formation energy without anion corrections	0.647	eV/atom
ΔE to the lowest computed polymorph	0.8231	eV per atom


(3)
VASP calculation (PBE) on an optimized crystal structure of KIO2F.

Cell: 4.0811 4.0811 5.4609 Å, 90.00 90.00 90.00°
Sites, in units of the cell vectors:
K (0.0000, 0.0000, 0.0000)
I (0.5000, 0.5000, 0.5000)
O (0.0000, 0.5000, 0.5000)
O (0.5000, 0.0000, 0.5000)
F (0.5000, 0.5000, 0.0000)

Summary:
formation energy without anion corrections	-1.039	eV/atom


(4)
VASP calculation (PBE) on an optimized crystal structure of LiCeTlIn.

Cell: 7.4198 7.4198 7.4198 Å, 90.00 90.00 90.00°
Sites, in units of the cell vectors:
Li (0.0000, 0.0000, 0.0000)
Li (0.0000, 0.5000, 0.5000)
Li (0.5000, 0.0000, 0.5000)
Li (0.5000, 0.5000, 0.0000)
Ce (0.0000, 0.0000, 0.5000)
Ce (0.0000, 0.5000, 0.0000)
Ce (0.5000, 0.0000, 0.0000)
Ce (0.5000, 0.5000, 0.5000)
Tl (0.2500, 0.2500, 0.2500)
Tl (0.2500, 0.7500, 0.7500)
Tl (0.7500, 0.2500, 0.7500)
Tl (0.7500, 0.7500, 0.2500)
In (0.2500, 0.2500, 0.7500)
In (0.2500, 0.7500, 0.2500)
In (0.7500, 0.2500, 0.2500)
In (0.7500, 0.7500, 0.7500)

Summary:
formation enthalpy at 0 K	-286	meV per atom


(5)
VASP calculation (PBE) on an optimized crystal structure of Ba5TlRh.

Cell: 8.2222 8.2222 11.0049 Å, 99.30 99.30 106.97°
Sites, in units of the cell vectors:
Ba (0.0628, 0.6738, 0.3774)
Ba (0.1029, 0.8971, 0.7500)
Ba (0.2417, 0.3833, 0.0285)
Ba (0.3262, 0.9372, 0.1226)
Ba (0.3833, 0.2417, 0.5285)
Ba (0.6167, 0.7583, 0.4715)
Ba (0.6738, 0.0628, 0.8774)
Ba (0.7583, 0.6167, 0.9715)
Ba (0.8971, 0.1029, 0.2500)
Ba (0.9372, 0.3262, 0.6226)
Tl (0.3793, 0.6207, 0.7500)
Tl (0.6207, 0.3793, 0.2500)
Rh (0.0000, 0.0000, 0.0000)
Rh (0.0000, 0.0000, 0.5000)

Summary:
formation enthalpy at 0 K	-192	meV per atom


(6)
VASP calculation (PBE) on an optimized crystal structure of PPb2BrO.

Cell: 5.8649 5.8649 3.5611 Å, 90.00 90.00 90.00°
Sites, in units of the cell vectors:
P (0.0000, 0.0000, 0.0000)
Pb (0.0000, 0.5000, 0.0000)
Pb (0.5000, 0.0000, 0.0000)
Br (0.5000, 0.5000, 0.5000)
O (0.0000, 0.0000, 0.5000)

Summary:
formation energy without anion corrections	-0.275	eV/atom


(7)
VASP calculation (PBE) on an optimized crystal structure of Bi2WSe.

Cell: 6.5457 6.5457 12.9278 Å, 90.00 90.00 90.00°
Sites, in units of the cell vectors:
Bi (0.2125, 0.2500, 0.1250)
Bi (0.2500, 0.7125, 0.3750)
Bi (0.2500, 0.7875, 0.8750)
Bi (0.2875, 0.2500, 0.6250)
Bi (0.7125, 0.7500, 0.6250)
Bi (0.7500, 0.2125, 0.8750)
Bi (0.7500, 0.2875, 0.3750)
Bi (0.7875, 0.7500, 0.1250)
W (0.0000, 0.0000, 0.0000)
W (0.0000, 0.5000, 0.2500)
W (0.5000, 0.0000, 0.7500)
W (0.5000, 0.5000, 0.5000)
Se (0.0000, 0.0000, 0.5000)
Se (0.0000, 0.5000, 0.7500)
Se (0.5000, 0.0000, 0.2500)
Se (0.5000, 0.5000, 0.0000)

Summary:
formation energy without anion corrections	1.027	eV/atom


(8)
VASP calculation (PBE) on an optimized crystal structure of TbCe2ThBi5.

Cell: 5.7603 5.7603 11.9184 Å, 90.00 90.00 90.00°
Sites, in units of the cell vectors:
Tb (0.0000, 0.0000, 0.0000)
Ce (0.5000, 0.5000, 0.2851)
Ce (0.5000, 0.5000, 0.7149)
Th (0.0000, 0.0000, 0.5000)
Bi (0.0000, 0.0000, 0.2431)
Bi (0.0000, 0.0000, 0.7569)
Bi (0.0000, 0.5000, 0.5000)
Bi (0.5000, 0.0000, 0.5000)
Bi (0.5000, 0.5000, 0.0000)

Summary:
formation enthalpy at 0 K	75	meV per atom


(9)
VASP calculation (PBE) on an optimized crystal structure of YTmMgZr.

Cell: 7.5465 7.5465 7.5465 Å, 90.00 90.00 90.00°
Sites, in units of the cell vectors:
Y (0.0000, 0.0000, 0.0000)
Y (0.0000, 0.5000, 0.5000)
Y (0.5000, 0.0000, 0.5000)
Y (0.5000, 0.5000, 0.0000)
Tm (0.0000, 0.0000, 0.5000)
Tm (0.0000, 0.5000, 0.0000)
Tm (0.5000, 0.0000, 0.0000)
Tm (0.5000, 0.5000, 0.5000)
Mg (0.2500, 0.2500, 0.2500)
Mg (0.2500, 0.7500, 0.7500)
Mg (0.7500, 0.2500, 0.7500)
Mg (0.7500, 0.7500, 0.2500)
Zr (0.2500, 0.2500, 0.7500)
Zr (0.2500, 0.7500, 0.2500)
Zr (0.7500, 0.2500, 0.2500)
Zr (0.7500, 0.7500, 0.7500)

Summary:
formation enthalpy at 0 K	130	meV per atom


(10)
VASP calculation (PBE) on an optimized crystal structure of HfBiOs2Se.

Cell: 4.6202 4.6202 4.9498 Å, 90.00 90.00 90.00°
Sites, in units of the cell vectors:
Hf (0.0000, 0.0000, 0.0000)
Bi (0.5000, 0.5000, 0.0000)
Os (0.0000, 0.5000, 0.5000)
Os (0.5000, 0.0000, 0.5000)
Se (0.0000, 0.0000, 0.5000)

Summary:
formation energy without anion corrections	0.982	eV/atom


(11)
VASP calculation (PBE) on an optimized crystal structure of MgReBr2.

Cell: 9.5019 3.1920 8.1339 Å, 90.00 114.35 90.00°
Sites, in units of the cell vectors:
Mg (0.0000, 0.0000, 0.0000)
Mg (0.5000, 0.5000, 0.0000)
Re (0.2610, 0.5000, 0.1051)
Re (0.7610, 0.0000, 0.1051)
Br (0.2212, 0.0000, 0.8158)
Br (0.3399, 0.0000, 0.3629)
Br (0.7212, 0.5000, 0.8158)
Br (0.8399, 0.5000, 0.3629)

Summary:
formation energy without anion corrections	0.275	eV/atom
ΔE to the lowest computed polymorph	0.2288	eV per atom


(12)
VASP calculation (PBE) on an optimized crystal structure of EuSc2Cu.

Cell: 3.3381 3.3381 8.6646 Å, 90.00 90.00 90.00°
Sites, in units of the cell vectors:
Eu (0.0000, 0.0000, 0.0000)
Sc (0.5000, 0.5000, 0.3206)
Sc (0.5000, 0.5000, 0.6794)
Cu (0.0000, 0.0000, 0.5000)

Summary:
formation enthalpy at 0 K	-11	meV per atom


(13)
VASP calculation (PBE) on an optimized crystal structure of SrYCl2.

Cell: 3.6528 3.6803 20.0111 Å, 90.00 90.00 90.00°
Sites, in units of the cell vectors:
Sr (0.0000, 0.0000, 0.0000)
Sr (0.5000, 0.5000, 0.5000)
Y (0.0000, 0.5000, 0.8326)
Y (0.5000, 0.0000, 0.3326)
Cl (0.0000, 0.0000, 0.5727)
Cl (0.0000, 0.5000, 0.2686)
Cl (0.5000, 0.0000, 0.7686)
Cl (0.5000, 0.5000, 0.0727)

Summary:
formation energy without anion corrections	-1.393	eV/atom
ΔE to the lowest computed polymorph	0.0877	eV per atom


(14)
VASP calculation (PBE) on an optimized crystal structure of RbSr2Pb9.

Cell: 11.4501 11.4501 11.4501 Å, 34.50 34.50 34.50°
Sites, in units of the cell vectors:
Rb (0.0000, 0.0000, 0.0000)
Sr (0.1393, 0.1393, 0.1393)
Sr (0.8607, 0.8607, 0.8607)
Pb (0.0762, 0.5920, 0.5920)
Pb (0.3362, 0.3362, 0.3362)
Pb (0.4080, 0.4080, 0.9238)
Pb (0.4080, 0.9238, 0.4080)
Pb (0.5000, 0.5000, 0.5000)
Pb (0.5920, 0.0762, 0.5920)
Pb (0.5920, 0.5920, 0.0762)
Pb (0.6638, 0.6638, 0.6638)
Pb (0.9238, 0.4080, 0.4080)

Summary:
formation enthalpy at 0 K	-231	meV per atom


(15)
VASP calculation (PBE) on an optimized crystal structure of LaPm4Rh.

Cell: 8.1318 8.1318 6.2017 Å, 100.06 100.06 105.67°
Sites, in units of the cell vectors:
La (0.1017, 0.8983, 0.7500)
La (0.8983, 0.1017, 0.2500)
Pm (0.1420, 0.3345, 0.8719)
Pm (0.2255, 0.5642, 0.4449)
Pm (0.3345, 0.1420, 0.3719)
Pm (0.4358, 0.7745, 0.0551)
Pm (0.5642, 0.2255, 0.9449)
Pm (0.6655, 0.8580, 0.6281)
Pm (0.7745, 0.4358, 0.5551)
Pm (0.8580, 0.6655, 0.1281)
Rh (0.4995, 0.5005, 0.7500)
Rh (0.5005, 0.4995, 0.2500)

Summary:
formation enthalpy at 0 K	-193	meV per atom


(16)
VASP calculation (PBE) on an optimized crystal structure of YPuCo4.

Cell: 5.0512 5.0512 5.0512 Å, 60.00 60.00 60.00°
Sites, in units of the cell vectors:
Y (0.0000, 0.0000, 0.0000)
Pu (0.7500, 0.7500, 0.7500)
Co (0.3755, 0.3755, 0.3755)
Co (0.3755, 0.3755, 0.8734)
Co (0.3755, 0.8734, 0.3755)
Co (0.8734, 0.3755, 0.3755)

Summary:
formation enthalpy at 0 K	-161	meV per atom


(17)
VASP calculation (PBE) on an optimized crystal structure of PmNpAl2O8.

Cell: 4.7302 4.7302 7.3221 Å, 90.08 90.08 79.43°
Sites, in units of the cell vectors:
Pm (0.0000, 0.0000, 0.0000)
Np (0.0000, 0.0000, 0.5000)
Al (0.5004, 0.5004, 0.1808)
Al (0.4996, 0.4996, 0.8192)
O (0.2279, 0.7719, 0.2702)
O (0.2281, 0.7721, 0.7298)
O (0.2496, 0.2496, 0.5009)
O (0.3270, 0.3270, 0.0000)
O (0.6730, 0.6730, 0.0000)
O (0.7504, 0.7504, 0.4991)
O (0.7719, 0.2279, 0.2702)
O (0.7721, 0.2281, 0.7298)

Summary:
formation energy without anion corrections	-2.808	eV/atom


(18)
VASP calculation (PBE) on an optimized crystal structure of LaOsSe2.

Cell: 4.0879 4.0879 10.1937 Å, 90.00 90.00 90.00°
Sites, in units of the cell vectors:
La (0.0000, 0.0000, 0.0000)
La (0.5000, 0.5000, 0.5000)
Os (0.0000, 0.5000, 0.7500)
Os (0.5000, 0.0000, 0.2500)
Se (0.0000, 0.0000, 0.5000)
Se (0.0000, 0.5000, 0.2500)
Se (0.5000, 0.0000, 0.7500)
Se (0.5000, 0.5000, 0.0000)

Summary:
formation energy without anion corrections	-0.085	eV/atom
ΔE to the lowest computed polymorph	0.6158	eV per atom


(19)
VASP calculation (PBE) on an optimized crystal structure of RbCrPt2.

Cell: 7.6460 7.6460 7.3976 Å, 90.00 90.00 90.00°
Sites, in units of the cell vectors:
Rb (0.0000, 0.0000, 0.0000)
Rb (0.0000, 0.5000, 0.2500)
Rb (0.5000, 0.0000, 0.7500)
Rb (0.5000, 0.5000, 0.5000)
Cr (0.0000, 0.0000, 0.5000)
Cr (0.0000, 0.5000, 0.7500)
Cr (0.5000, 0.0000, 0.2500)
Cr (0.5000, 0.5000, 0.0000)
Pt (0.1403, 0.2500, 0.6250)
Pt (0.2500, 0.6403, 0.8750)
Pt (0.2500, 0.8597, 0.3750)
Pt (0.3597, 0.2500, 0.1250)
Pt (0.6403, 0.7500, 0.1250)
Pt (0.7500, 0.1403, 0.3750)
Pt (0.7500, 0.3597, 0.8750)
Pt (0.8597, 0.7500, 0.6250)

Summary:
formation enthalpy at 0 K	488	meV per atom
ΔE to the lowest computed polymorph	0.0000	eV per atom


(20)
VASP calculation (PBE) on an optimized crystal structure of KYCoCl6.

Cell: 6.6690 6.6690 7.0069 Å, 90.10 90.10 120.19°
Sites, in units of the cell vectors:
K (0.0000, 0.0000, 0.0000)
Y (0.6663, 0.3337, 0.5000)
Co (0.3334, 0.6666, 0.5000)
Cl (0.0217, 0.3798, 0.7070)
Cl (0.0218, 0.6409, 0.2929)
Cl (0.3591, 0.9782, 0.7071)
Cl (0.3652, 0.3858, 0.2890)
Cl (0.6142, 0.6348, 0.7110)
Cl (0.6202, 0.9783, 0.2930)

Summary:
formation energy without anion corrections	-1.637	eV/atom


| no. | VASP energy (eV per atom) |
| --- | --- |
| 1 | -6.64 |
| 2 | -5.75 |
| 3 | -3.93 |
| 4 | -3.52 |
| 5 | -2.95 |
| 6 | -4.17 |
| 7 | -5.02 |
| 8 | -4.74 |
| 9 | -5.14 |
| 10 | -6.97 |
| 11 | -4.07 |
| 12 | -6.77 |
| 13 | -4.35 |
| 14 | -3.37 |
| 15 | -5.41 |
| 16 | -8.36 |
| 17 | -8.21 |
| 18 | -5.87 |
| 19 | -5.18 |
| 20 | -4.50 |